[1]
! Tb2HoRh | the Alexandria database | PBE | relaxed; values from VASP
&SYSTEM
  ibrav = 0, nat = 4, ntyp = 3
/
ATOMIC_SPECIES
Tb 158.93 Tb.upf
Ho 164.93 Ho.upf
Rh 102.91 Rh.upf
CELL_PARAMETERS angstrom
-1.5328 3.3936 -0.8330
-1.1442 0.7542 -3.5612
-9.1939 -1.8820 0.5111
ATOMIC_POSITIONS angstrom
Tb -7.6915 -1.2912 0.1535
Tb -2.4074 0.7868 -1.1041
Ho -5.9101 1.1429 -1.9476
Rh -1.7973 2.7602 -2.9265
! E_form	-1.3	eV/f.u.
! calculated volume	28.80	A^3/atom
! distance to the lowest polymorph of the same formula	19.3	kJ per mole of atoms

***

[2]
! Ba2CaCd | the Alexandria database | PBE | relaxed; values from VASP
&SYSTEM
  ibrav = 0, nat = 4, ntyp = 3
/
ATOMIC_SPECIES
Ca 40.08 Ca.upf
Ba 137.33 Ba.upf
Cd 112.41 Cd.upf
CELL_PARAMETERS angstrom
-3.0422 -0.4511 -2.9516
-1.3412 -3.5612 1.9267
-6.2975 5.4341 5.6604
ATOMIC_POSITIONS angstrom
Ca -3.7661 -0.6476 0.9026
Ba -6.0099 5.1860 5.4019
Ba -3.4364 2.9652 3.0887
Cd -6.9149 2.0695 3.7329
! E_form	-0.6	eV/f.u.
! calculated volume	45.73	A^3/atom

***

[3]
! Ac4Pt5Rh2 | the Alexandria database | PBE | relaxed; values from VASP
&SYSTEM
  ibrav = 0, nat = 11, ntyp = 3
/
ATOMIC_SPECIES
Ac 227.00 Ac.upf
Pt 195.08 Pt.upf
Rh 102.91 Rh.upf
CELL_PARAMETERS angstrom
-3.8883 0.5614 -1.5742
1.9107 -3.6552 -6.0229
-2.7010 -6.9474 4.1938
ATOMIC_POSITIONS angstrom
Ac -2.1133 -6.6012 -2.8235
Ac -3.8825 -6.6436 1.5313
Ac -2.5653 -3.4400 -0.5798
Ac -0.7961 -3.3976 -4.9346
Pt 0.1374 -4.1732 -1.8276
Pt -0.0623 -1.5737 -0.4074
Pt 0.9554 -1.8276 -3.0115
Pt -0.7280 -9.0289 -1.4217
Pt -0.9277 -6.4293 -0.0014
Rh -1.5560 -4.7917 2.1344
Rh 0.7657 -5.8109 -3.9635
! E_form	-10.0	eV/f.u.
! calculated volume	23.94	A^3/atom

***

[4]
! DyBePt6 | the Alexandria database | PBE | relaxed; values from VASP
&SYSTEM
  ibrav = 0, nat = 8, ntyp = 3
/
ATOMIC_SPECIES
Dy 162.50 Dy.upf
Be 9.01 Be.upf
Pt 195.08 Pt.upf
CELL_PARAMETERS angstrom
3.8944 0.0000 0.0000
0.0000 3.8944 0.0000
0.0000 0.0000 9.0965
ATOMIC_POSITIONS angstrom
Dy 0.0000 0.0000 0.0000
Be 0.0000 0.0000 4.5483
Pt 1.9472 0.0000 5.9177
Pt 0.0000 1.9472 5.9177
Pt 1.9472 1.9472 1.2708
Pt 1.9472 1.9472 7.8257
Pt 0.0000 1.9472 3.1788
Pt 1.9472 0.0000 3.1788
! E_form	-4.3	eV/f.u.
! calculated volume	17.25	A^3/atom
! distance to the lowest polymorph of the same formula	9.5	kJ per mole of atoms

***

[5]
! Zr2NiSnRh | the Alexandria database | PBE | relaxed; values from VASP
&SYSTEM
  ibrav = 0, nat = 5, ntyp = 4
/
ATOMIC_SPECIES
Ni 58.69 Ni.upf
Rh 102.91 Rh.upf
Sn 118.71 Sn.upf
Zr 91.22 Zr.upf
CELL_PARAMETERS angstrom
4.7363 0.0000 0.0000
0.0000 4.6428 0.0000
0.0000 0.0000 4.7363
ATOMIC_POSITIONS angstrom
Ni 0.0000 0.0000 0.0000
Rh 0.0000 2.3214 0.0000
Sn 2.3682 2.3214 2.3682
Zr 0.0000 0.0000 2.3682
Zr 2.3682 0.0000 0.0000
! E_form	0.2	eV/f.u.
! calculated volume	20.83	A^3/atom

***

[6]
! SmMg2Zn9 | the Alexandria database | PBE | relaxed; values from VASP
&SYSTEM
  ibrav = 0, nat = 12, ntyp = 3
/
ATOMIC_SPECIES
Sm 150.36 Sm.upf
Mg 24.30 Mg.upf
Zn 65.41 Zn.upf
CELL_PARAMETERS angstrom
3.0231 0.0000 0.0000
0.0000 9.0945 0.0000
0.0000 -4.5473 7.8761
ATOMIC_POSITIONS angstrom
Sm 0.0000 0.0000 0.0000
Mg 0.0000 4.5473 2.6254
Mg 0.0000 0.0000 5.2507
Zn 1.5116 6.6783 1.3950
Zn 0.0000 -2.2736 3.9380
Zn 0.0000 2.2736 3.9380
Zn 1.5116 4.5473 5.0861
Zn 1.5116 -2.1311 6.4811
Zn 1.5116 2.1311 6.4811
Zn 1.5116 0.0000 2.7900
Zn 0.0000 4.5473 0.0000
Zn 1.5116 2.4162 1.3950
! E_form	-0.2	eV/f.u.
! calculated volume	18.05	A^3/atom
! distance to the lowest polymorph of the same formula	18.1	kJ per mole of atoms

***

[7]
! GaBP2Cl | the Alexandria database | PBE | relaxed; values from VASP
&SYSTEM
  ibrav = 0, nat = 5, ntyp = 4
/
ATOMIC_SPECIES
P 30.97 P.upf
B 10.81 B.upf
Ga 69.72 Ga.upf
Cl 35.45 Cl.upf
CELL_PARAMETERS angstrom
-0.7399 -1.3527 4.4433
-3.4598 -2.8413 -1.4411
3.2753 -3.6946 -0.5794
ATOMIC_POSITIONS angstrom
P -1.7299 -1.4206 -0.7206
P -0.3699 -0.6764 2.2216
B -0.4622 -3.9443 1.2114
Ga 0.0000 0.0000 0.0000
Cl 1.6377 -1.8473 -0.2897
! formation energy from raw total energies	1.418	eV per atom
! calculated volume	21.99	A^3/atom
! distance to the lowest polymorph of the same formula	85.7	kJ per mole of atoms

***

[8]
! CaPm2Sc | the Alexandria database | PBE | relaxed; values from VASP
&SYSTEM
  ibrav = 0, nat = 4, ntyp = 3
/
ATOMIC_SPECIES
Sc 44.96 Sc.upf
Ca 40.08 Ca.upf
Pm 145.00 Pm.upf
CELL_PARAMETERS angstrom
-3.2495 0.8044 -1.1219
-2.2197 -2.5692 -0.9683
-6.0573 -1.3470 11.0233
ATOMIC_POSITIONS angstrom
Sc -5.7633 -1.5559 4.4666
Ca 0.0000 0.0000 0.0000
Pm -4.8622 -1.1329 7.7152
Pm -6.6644 -1.9789 1.2180
! E_form	0.7	eV/f.u.
! calculated volume	33.69	A^3/atom
! distance to the lowest polymorph of the same formula	10.2	kJ per mole of atoms